The following is a GGA-PBEsol calculation of an optimized crystal structure of AlNiAu2, from Alexandria.

Output
Energy of formation in eV/atom: -0.304
Total energy in eV per atom: -4.83

abc: 2.992 2.992 6.460
angles: 90.00 90.00 90.00
Space group P4mm (No. 99)
Unique sites:
Al  0.000  0.000  0.000 x1
Ni  0.500  0.500  0.816 x1
Au  0.000  0.000  0.564 x1
Au  0.500  0.500  0.255 x1